Here is La2PrPt9 after structural relaxation from the Alexandria database. Energies are from GGA-PBE.

It has space group R-3m (No. 166, hexagonal axes), with a = 5.4901 Å, b = 5.4901 Å, c = 27.0331 Å, α = 90.00°, β = 90.00° and γ = 120.00°. The distinct sites, in fractional coordinates, are La at (0.0000, 0.0000, 0.1391), Pr at (0.0000, 0.0000, 0.0000), Pt at (0.0000, 0.0000, 0.3326), Pt at (0.0000, 0.0000, 0.5000) and Pt at (0.0030, 0.5015, 0.9160).

The value obtained for the calculated volume is 235 Å³/f.u. The total energy is -240.78 eV for the cell shown.